[1]
First-principles (PBE-GGA) data for CsNdSi after structural relaxation, as listed in OQMD via LeMat-Bulk.

Computed properties:
- Excess energy over the best structure of this formula in the dataset: 152.4 kJ/mol of formula units

```
3
Lattice="0.0000 3.6946 3.6946 3.6946 0.0000 3.6946 3.6946 3.6946 0.0000" Properties=species:S:1:pos:R:3 pbc="T T T"
Cs 0.0000 0.0000 0.0000
Nd 5.5419 5.5419 5.5419
Si 1.8473 1.8473 1.8473
```

[2]
First-principles (PBE-GGA) data for ThAg after structural relaxation, as listed in OQMD via LeMat-Bulk.

Computed properties:
- Calculated formation energy: 0.100 eV per atom

```
2
Lattice="3.3805 0.0000 0.0000 -1.6902 2.9276 0.0000 0.0000 0.0000 5.2073" Properties=species:S:1:pos:R:3 pbc="T T T"
Th 0.0000 0.0000 0.0000
Ag 0.0000 1.9517 2.6037
```

Spin magnetization, record by record: 0.0, 0.0 μB per formula unit
Raw total energy, record by record: -2.78, -5.02 eV per atom